# 1
A plane-wave DFT calculation with GGA-PBE was carried out for crystalline LiLu2Hg at its relaxed geometry.

a b c (Å): 5.090 5.090 5.090
angles (deg): 60.00 60.00 60.00
Fractional positions:
Hg1 0.250 0.250 0.250
Li1 0.500 0.500 0.500
Lu1 0.000 0.000 0.000
Lu2 0.750 0.750 0.750

Properties
Total magnetic moment   0.01 μB/f.u.
Calculated total energy   -2.824 eV per atom


# 2
A plane-wave DFT calculation with GGA-PBE was carried out for crystalline CsBePt at its relaxed geometry.

a b c (Å): 4.949 4.949 4.949
angles (deg): 60.00 60.00 60.00
Fractional positions:
Be1 0.250 0.250 0.250
Pt1 0.000 0.000 0.000
Cs1 0.750 0.750 0.750

Properties
Total magnetic moment   0.00 μB/f.u.
Energy relative to the lowest polymorph listed for this composition   0.00 kcal/mol of atoms